1.
SrReAu | PBE | relaxed

```
data_SrReAu
_chemical_formula_sum 'Sr1 Re1 Au1'
_cell_length_a 2.994
_cell_length_b 2.994
_cell_length_c 7.793
_cell_angle_alpha 90.00
_cell_angle_beta 90.00
_cell_angle_gamma 120.00
_symmetry_space_group_name_H-M 'P 1'
_symmetry_Int_Tables_number 1
loop_
_symmetry_equiv_pos_as_xyz
'x,y,z'
loop_
_atom_site_label
_atom_site_type_symbol
_atom_site_fract_x
_atom_site_fract_y
_atom_site_fract_z
Sr1 Sr 0.000 0.000 0.000
Re1 Re 0.333 0.667 0.655
Au1 Au 0.667 0.333 0.360
```

## Properties
Distance to the lowest polymorph of the same formula: 0.292 eV per atom
Fermi-level density of states: 0.751 states/eV/atom
Volume: 20.2 Å³/atom
Energy of formation: 0.923 eV per atom



2.
Sr2ReAu | PBE | relaxed

```
data_Sr2ReAu
_chemical_formula_sum 'Sr2 Re1 Au1'
_cell_length_a 6.632
_cell_length_b 6.632
_cell_length_c 6.632
_cell_angle_alpha 149.78
_cell_angle_beta 132.82
_cell_angle_gamma 57.06
_symmetry_space_group_name_H-M 'P 1'
_symmetry_Int_Tables_number 1
loop_
_symmetry_equiv_pos_as_xyz
'x,y,z'
loop_
_atom_site_label
_atom_site_type_symbol
_atom_site_fract_x
_atom_site_fract_y
_atom_site_fract_z
Sr1 Sr 0.000 0.000 0.000
Sr2 Sr 0.702 0.202 0.500
Re1 Re 0.442 0.442 0.000
Au1 Au 0.265 0.765 0.500
```

## Properties
Distance to the lowest polymorph of the same formula: 0.167 eV per atom
Fermi-level density of states: 0.978 states/eV/atom
Volume: 26.7 Å³/atom
Energy of formation: 0.482 eV per atom



3.
SrReAu2 | PBE | relaxed

```
data_SrReAu2
_chemical_formula_sum 'Sr1 Re1 Au2'
_cell_length_a 2.878
_cell_length_b 4.538
_cell_length_c 6.508
_cell_angle_alpha 90.00
_cell_angle_beta 90.00
_cell_angle_gamma 90.00
_symmetry_space_group_name_H-M 'P 1'
_symmetry_Int_Tables_number 1
loop_
_symmetry_equiv_pos_as_xyz
'x,y,z'
loop_
_atom_site_label
_atom_site_type_symbol
_atom_site_fract_x
_atom_site_fract_y
_atom_site_fract_z
Sr1 Sr 0.000 0.000 0.000
Re1 Re 0.500 0.500 0.663
Au1 Au 0.000 0.000 0.545
Au2 Au 0.500 0.500 0.249
```

## Properties
Distance to the lowest polymorph of the same formula: 0.137 eV per atom
Fermi-level density of states: 1.062 states/eV/atom
Volume: 21.3 Å³/atom
Energy of formation: 0.478 eV per atom



4.
SrReAu | PBE | relaxed

```
data_SrReAu
_chemical_formula_sum 'Sr1 Re1 Au1'
_cell_length_a 4.877
_cell_length_b 4.877
_cell_length_c 4.877
_cell_angle_alpha 60.00
_cell_angle_beta 60.00
_cell_angle_gamma 60.00
_symmetry_space_group_name_H-M 'P 1'
_symmetry_Int_Tables_number 1
loop_
_symmetry_equiv_pos_as_xyz
'x,y,z'
loop_
_atom_site_label
_atom_site_type_symbol
_atom_site_fract_x
_atom_site_fract_y
_atom_site_fract_z
Sr1 Sr 0.000 0.000 0.000
Re1 Re 0.500 0.500 0.500
Au1 Au 0.250 0.250 0.250
```

## Properties
Distance to the lowest polymorph of the same formula: 0.409 eV per atom
Fermi-level density of states: 0.757 states/eV/atom
Volume: 27.3 Å³/atom
Energy of formation: 1.040 eV per atom



5.
SrReAu | PBE | relaxed

```
data_SrReAu
_chemical_formula_sum 'Sr1 Re1 Au1'
_cell_length_a 5.012
_cell_length_b 5.012
_cell_length_c 5.012
_cell_angle_alpha 60.00
_cell_angle_beta 60.00
_cell_angle_gamma 60.00
_symmetry_space_group_name_H-M 'P 1'
_symmetry_Int_Tables_number 1
loop_
_symmetry_equiv_pos_as_xyz
'x,y,z'
loop_
_atom_site_label
_atom_site_type_symbol
_atom_site_fract_x
_atom_site_fract_y
_atom_site_fract_z
Sr1 Sr 0.000 0.000 0.000
Re1 Re 0.750 0.750 0.750
Au1 Au 0.250 0.250 0.250
```

## Properties
Distance to the lowest polymorph of the same formula: 1.008 eV per atom
Fermi-level density of states: 0.781 states/eV/atom
Volume: 29.7 Å³/atom
Energy of formation: 1.639 eV per atom



6.
SrRe4Au | PBE | relaxed

```
data_SrRe4Au
_chemical_formula_sum 'Sr1 Re4 Au1'
_cell_length_a 5.381
_cell_length_b 5.381
_cell_length_c 5.381
_cell_angle_alpha 60.00
_cell_angle_beta 60.00
_cell_angle_gamma 60.00
_symmetry_space_group_name_H-M 'P 1'
_symmetry_Int_Tables_number 1
loop_
_symmetry_equiv_pos_as_xyz
'x,y,z'
loop_
_atom_site_label
_atom_site_type_symbol
_atom_site_fract_x
_atom_site_fract_y
_atom_site_fract_z
Sr1 Sr 0.000 0.000 0.000
Re1 Re 0.377 0.377 0.377
Re2 Re 0.377 0.377 0.870
Re3 Re 0.377 0.870 0.377
Re4 Re 0.870 0.377 0.377
Au1 Au 0.750 0.750 0.750
```

## Properties
Fermi-level density of states: 0.812 states/eV/atom
Volume: 18.4 Å³/atom
Energy of formation: 0.645 eV per atom



7.
Sr2ReAu | PBE | relaxed

```
data_Sr2ReAu
_chemical_formula_sum 'Sr2 Re1 Au1'
_cell_length_a 3.156
_cell_length_b 3.752
_cell_length_c 8.577
_cell_angle_alpha 90.00
_cell_angle_beta 90.00
_cell_angle_gamma 90.00
_symmetry_space_group_name_H-M 'P 1'
_symmetry_Int_Tables_number 1
loop_
_symmetry_equiv_pos_as_xyz
'x,y,z'
loop_
_atom_site_label
_atom_site_type_symbol
_atom_site_fract_x
_atom_site_fract_y
_atom_site_fract_z
Sr1 Sr 0.000 0.000 0.242
Sr2 Sr 0.000 0.000 0.758
Re1 Re 0.500 0.500 0.000
Au1 Au 0.500 0.500 0.500
```

## Properties
Distance to the lowest polymorph of the same formula: 0.164 eV per atom
Fermi-level density of states: 0.905 states/eV/atom
Volume: 25.4 Å³/atom
Energy of formation: 0.479 eV per atom



8.
Sr2ReAu | PBE | relaxed

```
data_Sr2ReAu
_chemical_formula_sum 'Sr2 Re1 Au1'
_cell_length_a 5.348
_cell_length_b 5.348
_cell_length_c 5.348
_cell_angle_alpha 60.00
_cell_angle_beta 60.00
_cell_angle_gamma 60.00
_symmetry_space_group_name_H-M 'P 1'
_symmetry_Int_Tables_number 1
loop_
_symmetry_equiv_pos_as_xyz
'x,y,z'
loop_
_atom_site_label
_atom_site_type_symbol
_atom_site_fract_x
_atom_site_fract_y
_atom_site_fract_z
Sr1 Sr 0.250 0.250 0.250
Sr2 Sr 0.750 0.750 0.750
Re1 Re 0.000 0.000 0.000
Au1 Au 0.500 0.500 0.500
```

## Properties
Distance to the lowest polymorph of the same formula: 0.299 eV per atom
Fermi-level density of states: 2.569 states/eV/atom
Volume: 27.0 Å³/atom
Energy of formation: 0.614 eV per atom



Q: What is the formula in the fourth record?
A: SrReAu